(1)
This record from the Alexandria database describes a relaxed Ti3GeAu crystal. The functional is PBE-GGA.

Results
DOS(E_F) ... 1.5292 states/eV per atom
Space group ... Pm-3m, No. 221
Total magnetization ... 0.00 Bohr magnetons per cell
V ... 22.92 Å³/atom
Total DFT energy (no corrections) ... -28.1 eV/cell

Cell lengths 4.857, 4.857, 4.857 Å; angles 90.00, 90.00, 90.00 degrees
Fractional coordinates of all 5 atoms:
1 Au 0.000 0.000 0.000
2 Ti 0.500 0.000 0.000
3 Ti 0.000 0.000 0.500
4 Ge 0.500 0.500 0.500
5 Ti 0.000 0.500 0.000

(2)
This record from the Alexandria database describes a relaxed Ti4Ge2Au5 crystal. The functional is PBE-GGA.

Results
DOS(E_F) ... 0.6884 states/eV per atom
Space group ... P2/m, No. 10
Total magnetization ... 0.00 Bohr magnetons per cell
V ... 17.52 Å³/atom
Total DFT energy (no corrections) ... -60.4 eV/cell

Cell lengths 2.846, 7.078, 9.636 Å; angles 96.69, 90.00, 90.00 degrees
Fractional coordinates of all 11 atoms:
1 Au 0.000 0.500 0.000
2 Ti 0.500 0.165 0.905
3 Ti 0.500 0.835 0.095
4 Au 0.000 0.820 0.839
5 Ge 0.000 0.102 0.662
6 Au 0.000 0.475 0.659
7 Au 0.000 0.525 0.341
8 Ti 0.500 0.782 0.556
9 Ti 0.500 0.218 0.444
10 Ge 0.000 0.898 0.338
11 Au 0.000 0.180 0.161

(3)
This record from the Alexandria database describes a relaxed TiGe2Au crystal. The functional is PBE-GGA.

Results
DOS(E_F) ... 0.5747 states/eV per atom
Space group ... R3m, No. 160
Total magnetization ... 0.00 Bohr magnetons per cell
V ... 18.68 Å³/atom
Total DFT energy (no corrections) ... -20.9 eV/cell

Cell lengths 4.017, 4.017, 5.827 Å; angles 69.84, 69.84, 60.00 degrees
Fractional coordinates of all 4 atoms:
1 Ge 0.251 0.251 0.246
2 Ti 0.675 0.675 0.975
3 Ge 0.080 0.080 0.761
4 Au 0.494 0.494 0.519

(4)
This record from the Alexandria database describes a relaxed TiGe2Au crystal. The functional is PBE-GGA.

Results
DOS(E_F) ... 0.6762 states/eV per atom
Space group ... Fm-3m, No. 225
Total magnetization ... 0.98 Bohr magnetons per cell
V ... 17.45 Å³/atom
Total DFT energy (no corrections) ... -20.2 eV/cell

Cell lengths 4.622, 4.622, 4.622 Å; angles 60.00, 60.00, 60.00 degrees
Fractional coordinates of all 4 atoms:
1 Ti 0.000 0.000 0.000
2 Ge 0.250 0.250 0.250
3 Ge 0.750 0.750 0.750
4 Au 0.500 0.500 0.500

(5)
This record from the Alexandria database describes a relaxed TiGe2Au crystal. The functional is PBE-GGA.

Results
DOS(E_F) ... 1.2832 states/eV per atom
Space group ... I-42d, No. 122
Total magnetization ... 0.00 Bohr magnetons per cell
V ... 18.87 Å³/atom
Total DFT energy (no corrections) ... -41.2 eV/cell

Cell lengths 4.122, 4.122, 9.352 Å; angles 77.27, 77.27, 90.00 degrees
Fractional coordinates of all 8 atoms:
1 Ge 0.152 0.625 0.250
2 Ti 0.500 0.500 0.000
3 Ti 0.250 0.750 0.500
4 Au 0.000 0.000 0.000
5 Ge 0.598 0.125 0.250
6 Ge 0.375 0.402 0.750
7 Au 0.750 0.250 0.500
8 Ge 0.875 0.848 0.750

(6)
This record from the Alexandria database describes a relaxed Ti2GeAu2 crystal. The functional is PBE-GGA.

Results
DOS(E_F) ... 1.2870 states/eV per atom
Space group ... I4/mmm, No. 139
Total magnetization ... 0.00 Bohr magnetons per cell
V ... 19.22 Å³/atom
Total DFT energy (no corrections) ... -26.5 eV/cell

Cell lengths 3.750, 3.750, 7.329 Å; angles 75.18, 75.18, 90.00 degrees
Fractional coordinates of all 5 atoms:
1 Ti 0.750 0.250 0.500
2 Ti 0.250 0.750 0.500
3 Au 0.398 0.398 0.205
4 Au 0.602 0.602 0.795
5 Ge 0.000 0.000 0.000

(7)
This record from the Alexandria database describes a relaxed Ti2Ge2Au crystal. The functional is PBE-GGA.

Results
DOS(E_F) ... 0.4502 states/eV per atom
Space group ... P4/mbm, No. 127
Total magnetization ... 0.00 Bohr magnetons per cell
V ... 16.54 Å³/atom
Total DFT energy (no corrections) ... -60.8 eV/cell

Cell lengths 6.729, 6.729, 3.654 Å; angles 90.00, 90.00, 90.00 degrees
Fractional coordinates of all 10 atoms:
1 Ti 0.174 0.674 0.500
2 Au 0.000 0.000 0.000
3 Ti 0.826 0.326 0.500
4 Ge 0.629 0.129 0.000
5 Ge 0.129 0.371 0.000
6 Ti 0.674 0.826 0.500
7 Ti 0.326 0.174 0.500
8 Ge 0.871 0.629 0.000
9 Au 0.500 0.500 0.000
10 Ge 0.371 0.871 0.000

(8)
This record from the Alexandria database describes a relaxed Ti2GeAu2 crystal. The functional is PBE-GGA.

Results
DOS(E_F) ... 1.1164 states/eV per atom
Space group ... P4/mbm, No. 127
Total magnetization ... 0.00 Bohr magnetons per cell
V ... 18.38 Å³/atom
Total DFT energy (no corrections) ... -55.9 eV/cell

Cell lengths 6.900, 6.900, 3.861 Å; angles 90.00, 90.00, 90.00 degrees
Fractional coordinates of all 10 atoms:
1 Ge 0.500 0.500 0.000
2 Au 0.857 0.357 0.500
3 Ti 0.656 0.156 0.000
4 Ti 0.156 0.344 0.000
5 Ge 0.000 0.000 0.000
6 Au 0.143 0.643 0.500
7 Ti 0.844 0.656 0.000
8 Ti 0.344 0.844 0.000
9 Au 0.357 0.143 0.500
10 Au 0.643 0.857 0.500

(9)
This record from the Alexandria database describes a relaxed Ti3GeAu crystal. The functional is PBE-GGA.

Results
DOS(E_F) ... 0.7570 states/eV per atom
Space group ... Pm-3m, No. 221
Total magnetization ... 0.00 Bohr magnetons per cell
V ... 20.28 Å³/atom
Total DFT energy (no corrections) ... -30.0 eV/cell

Cell lengths 4.663, 4.663, 4.663 Å; angles 90.00, 90.00, 90.00 degrees
Fractional coordinates of all 5 atoms:
1 Au 0.500 0.500 0.500
2 Ti 0.500 0.000 0.000
3 Ti 0.000 0.000 0.500
4 Ge 0.000 0.000 0.000
5 Ti 0.000 0.500 0.000

(10)
This record from the Alexandria database describes a relaxed Ti2GeAu2 crystal. The functional is PBE-GGA.

Results
DOS(E_F) ... 0.6516 states/eV per atom
Space group ... P4/mbm, No. 127
Total magnetization ... 1.46 Bohr magnetons per cell
V ... 18.13 Å³/atom
Total DFT energy (no corrections) ... -55.5 eV/cell

Cell lengths 7.551, 7.551, 3.179 Å; angles 90.00, 90.00, 90.00 degrees
Fractional coordinates of all 10 atoms:
1 Ti 0.167 0.667 0.500
2 Au 0.870 0.630 0.000
3 Ti 0.833 0.333 0.500
4 Ge 0.500 0.500 0.000
5 Ti 0.333 0.167 0.500
6 Au 0.630 0.130 0.000
7 Au 0.370 0.870 0.000
8 Ge 0.000 0.000 0.000
9 Au 0.130 0.370 0.000
10 Ti 0.667 0.833 0.500

(11)
This record from the Alexandria database describes a relaxed Ti2Ge2Au crystal. The functional is PBE-GGA.

Results
DOS(E_F) ... 0.4428 states/eV per atom
Space group ... P4/mbm, No. 127
Total magnetization ... 1.95 Bohr magnetons per cell
V ... 17.51 Å³/atom
Total DFT energy (no corrections) ... -58.8 eV/cell

Cell lengths 7.204, 7.204, 3.374 Å; angles 90.00, 90.00, 90.00 degrees
Fractional coordinates of all 10 atoms:
1 Ti 0.373 0.873 0.000
2 Au 0.000 0.000 0.000
3 Ti 0.873 0.627 0.000
4 Ti 0.627 0.127 0.000
5 Ge 0.176 0.676 0.500
6 Ge 0.676 0.824 0.500
7 Ge 0.824 0.324 0.500
8 Au 0.500 0.500 0.000
9 Ge 0.324 0.176 0.500
10 Ti 0.127 0.373 0.000

(12)
This record from the Alexandria database describes a relaxed Y2TiGeAu crystal. The functional is PBE-GGA.

Results
DOS(E_F) ... 0.9217 states/eV per atom
Space group ... P4/mmm, No. 123
Total magnetization ... 0.00 Bohr magnetons per cell
V ... 26.90 Å³/atom
Total DFT energy (no corrections) ... -27.3 eV/cell

Cell lengths 5.302, 4.784, 5.302 Å; angles 90.00, 90.00, 90.00 degrees
Fractional coordinates of all 5 atoms:
1 Ge 0.000 0.500 0.000
2 Y 0.000 0.000 0.500
3 Y 0.500 0.000 0.000
4 Ti 0.000 0.000 0.000
5 Au 0.500 0.500 0.500

(13)
This record from the Alexandria database describes a relaxed Zr2TiGeAu crystal. The functional is PBE-GGA.

Results
DOS(E_F) ... 0.9745 states/eV per atom
Space group ... P4/mmm, No. 123
Total magnetization ... 0.00 Bohr magnetons per cell
V ... 23.14 Å³/atom
Total DFT energy (no corrections) ... -31.7 eV/cell

Cell lengths 4.978, 4.670, 4.978 Å; angles 90.00, 90.00, 90.00 degrees
Fractional coordinates of all 5 atoms:
1 Au 0.500 0.500 0.500
2 Ge 0.000 0.000 0.000
3 Zr 0.500 0.000 0.000
4 Ti 0.000 0.500 0.000
5 Zr 0.000 0.000 0.500

(14)
This record from the Alexandria database describes a relaxed Tl3GeAu8 crystal. The functional is PBE-GGA.

Results
DOS(E_F) ... 0.3973 states/eV per atom
Space group ... P6_3mc, No. 186
Total magnetization ... 0.00 Bohr magnetons per cell
V ... 21.28 Å³/atom
Total DFT energy (no corrections) ... -74.6 eV/cell

Cell lengths 5.643, 10.223, 10.223 Å; angles 120.00, 90.00, 90.00 degrees
Fractional coordinates of all 24 atoms:
1 Ge 0.524 0.667 0.333
2 Au 0.036 0.501 0.003
3 Au 0.573 0.333 0.667
4 Tl 0.760 0.152 0.848
5 Au 0.260 0.203 0.407
6 Au 0.260 0.203 0.797
7 Au 0.760 0.797 0.203
8 Au 0.760 0.797 0.593
9 Au 0.073 0.667 0.333
10 Au 0.511 0.000 0.000
11 Ge 0.024 0.333 0.667
12 Au 0.536 0.499 0.997
13 Au 0.011 0.000 0.000
14 Tl 0.260 0.848 0.152
15 Au 0.036 0.997 0.499
16 Tl 0.760 0.152 0.304
17 Au 0.036 0.501 0.499
18 Au 0.536 0.499 0.501
19 Au 0.260 0.593 0.797
20 Au 0.536 0.003 0.501
21 Tl 0.260 0.848 0.696
22 Tl 0.760 0.696 0.848
23 Tl 0.260 0.304 0.152
24 Au 0.760 0.407 0.203

(15)
This record from the Alexandria database describes a relaxed Tl3Ge2Au7 crystal. The functional is PBE-GGA.

Results
DOS(E_F) ... 0.2534 states/eV per atom
Space group ... P2/m, No. 10
Total magnetization ... 0.00 Bohr magnetons per cell
V ... 23.25 Å³/atom
Total DFT energy (no corrections) ... -39.2 eV/cell

Cell lengths 3.899, 5.168, 14.072 Å; angles 100.24, 90.00, 90.00 degrees
Fractional coordinates of all 12 atoms:
1 Tl 0.500 0.268 0.598
2 Tl 0.500 0.500 0.000
3 Au 0.000 0.288 0.420
4 Au 0.000 0.712 0.580
5 Ge 0.000 0.092 0.827
6 Ge 0.000 0.908 0.173
7 Tl 0.500 0.732 0.402
8 Au 0.500 0.875 0.724
9 Au 0.000 0.000 0.000
10 Au 0.000 0.431 0.182
11 Au 0.000 0.569 0.818
12 Au 0.500 0.125 0.276

(16)
This record from the Alexandria database describes a relaxed Tl2GeAu crystal. The functional is PBE-GGA.

Results
DOS(E_F) ... 0.4938 states/eV per atom
Space group ... I-42d, No. 122
Total magnetization ... 0.00 Bohr magnetons per cell
V ... 25.32 Å³/atom
Total DFT energy (no corrections) ... -23.3 eV/cell

Cell lengths 4.341, 4.341, 11.178 Å; angles 78.80, 78.80, 90.00 degrees
Fractional coordinates of all 8 atoms:
1 Au 0.000 0.000 0.000
2 Tl 0.875 0.877 0.750
3 Ge 0.250 0.750 0.500
4 Tl 0.627 0.125 0.250
5 Ge 0.500 0.500 0.000
6 Tl 0.123 0.625 0.250
7 Au 0.750 0.250 0.500
8 Tl 0.375 0.373 0.750

(17)
This record from the Alexandria database describes a relaxed Tl3GeAu crystal. The functional is PBE-GGA.

Results
DOS(E_F) ... 0.7560 states/eV per atom
Space group ... Pm-3m, No. 221
Total magnetization ... 0.00 Bohr magnetons per cell
V ... 33.35 Å³/atom
Total DFT energy (no corrections) ... -12.8 eV/cell

Cell lengths 5.504, 5.504, 5.504 Å; angles 90.00, 90.00, 90.00 degrees
Fractional coordinates of all 5 atoms:
1 Tl 0.000 0.000 0.500
2 Tl 0.000 0.500 0.000
3 Tl 0.500 0.000 0.000
4 Ge 0.500 0.500 0.500
5 Au 0.000 0.000 0.000

(18)
This record from the Alexandria database describes a relaxed Tl2Ge2Au crystal. The functional is PBE-GGA.

Results
DOS(E_F) ... 0.3330 states/eV per atom
Space group ... P4/mbm, No. 127
Total magnetization ... 0.00 Bohr magnetons per cell
V ... 25.90 Å³/atom
Total DFT energy (no corrections) ... -31.2 eV/cell

Cell lengths 7.801, 7.801, 4.255 Å; angles 90.00, 90.00, 90.00 degrees
Fractional coordinates of all 10 atoms:
1 Tl 0.320 0.820 0.000
2 Ge 0.614 0.886 0.500
3 Au 0.500 0.500 0.000
4 Tl 0.820 0.680 0.000
5 Tl 0.180 0.320 0.000
6 Tl 0.680 0.180 0.000
7 Ge 0.114 0.614 0.500
8 Ge 0.886 0.386 0.500
9 Ge 0.386 0.114 0.500
10 Au 0.000 0.000 0.000

(19)
This record from the Alexandria database describes a relaxed Tl12GeAu7 crystal. The functional is PBE-GGA.

Results
DOS(E_F) ... 0.5167 states/eV per atom
Space group ... R-3m, No. 166
Total magnetization ... 0.00 Bohr magnetons per cell
V ... 26.75 Å³/atom
Total DFT energy (no corrections) ... -55.7 eV/cell

Cell lengths 6.058, 10.297, 10.297 Å; angles 116.25, 101.31, 101.31 degrees
Fractional coordinates of all 20 atoms:
1 Au 0.340 0.245 0.245
2 Au 0.500 0.000 0.000
3 Tl 0.090 0.181 0.590
4 Tl 0.560 0.677 0.000
5 Au 0.660 0.755 0.755
6 Tl 0.559 0.000 0.677
7 Tl 0.500 0.590 0.410
8 Tl 0.910 0.819 0.410
9 Au 0.905 0.000 0.245
10 Tl 0.500 0.410 0.590
11 Au 0.095 0.755 0.000
12 Tl 0.091 0.590 0.181
13 Au 0.905 0.245 0.000
14 Tl 0.883 0.323 0.323
15 Tl 0.440 0.323 0.000
16 Au 0.095 0.000 0.755
17 Tl 0.909 0.410 0.819
18 Ge 0.000 0.000 0.000
19 Tl 0.441 0.000 0.323
20 Tl 0.117 0.677 0.677

(20)
This record from the Alexandria database describes a relaxed Tl3Ge2Au5 crystal. The functional is PBE-GGA.

Results
DOS(E_F) ... 0.3340 states/eV per atom
Space group ... Ibam, No. 72
Total magnetization ... 0.00 Bohr magnetons per cell
V ... 23.60 Å³/atom
Total DFT energy (no corrections) ... -64.3 eV/cell

Cell lengths 7.543, 9.381, 9.381 Å; angles 52.72, 66.29, 66.29 degrees
Fractional coordinates of all 20 atoms:
1 Tl 0.750 0.000 0.000
2 Au 0.750 0.500 0.500
3 Tl 0.607 0.613 0.173
4 Ge 0.186 0.773 0.856
5 Ge 0.814 0.227 0.144
6 Au 0.901 0.397 0.801
7 Au 0.452 0.298 0.298
8 Au 0.548 0.702 0.702
9 Ge 0.314 0.144 0.227
10 Tl 0.893 0.827 0.387
11 Au 0.952 0.298 0.298
12 Au 0.599 0.199 0.603
13 Tl 0.250 0.000 0.000
14 Au 0.401 0.801 0.397
15 Au 0.048 0.702 0.702
16 Tl 0.393 0.387 0.827
17 Au 0.099 0.603 0.199
18 Au 0.250 0.500 0.500
19 Tl 0.107 0.173 0.613
20 Ge 0.686 0.856 0.773

(21)
This record from the Alexandria database describes a relaxed Tl2GeAu crystal. The functional is PBE-GGA.

Results
DOS(E_F) ... 0.3656 states/eV per atom
Space group ... R-3m, No. 166
Total magnetization ... 0.00 Bohr magnetons per cell
V ... 25.03 Å³/atom
Total DFT energy (no corrections) ... -11.7 eV/cell

Cell lengths 3.286, 3.286, 10.873 Å; angles 81.31, 81.31, 60.00 degrees
Fractional coordinates of all 4 atoms:
1 Tl 0.092 0.092 0.723
2 Tl 0.908 0.908 0.277
3 Ge 0.000 0.000 0.000
4 Au 0.500 0.500 0.500

(22)
This record from the Alexandria database describes a relaxed Tl3GeAu2 crystal. The functional is PBE-GGA.

Results
DOS(E_F) ... 0.2886 states/eV per atom
Space group ... C2/m, No. 12
Total magnetization ... 0.00 Bohr magnetons per cell
V ... 27.18 Å³/atom
Total DFT energy (no corrections) ... -36.7 eV/cell

Cell lengths 4.528, 8.526, 9.053 Å; angles 84.87, 75.52, 74.60 degrees
Fractional coordinates of all 12 atoms:
1 Tl 0.918 0.963 0.201
2 Tl 0.181 0.260 0.377
3 Ge 0.481 0.412 0.625
4 Au 0.666 0.106 0.563
5 Au 0.091 0.589 0.229
6 Ge 0.519 0.588 0.375
7 Au 0.909 0.411 0.771
8 Tl 0.649 0.693 0.009
9 Au 0.334 0.894 0.437
10 Tl 0.351 0.307 0.991
11 Tl 0.082 0.037 0.799
12 Tl 0.819 0.740 0.623

(23)
This record from the Alexandria database describes a relaxed Tl2GeAu crystal. The functional is PBE-GGA.

Results
DOS(E_F) ... 0.6925 states/eV per atom
Space group ... Fm-3m, No. 225
Total magnetization ... 0.00 Bohr magnetons per cell
V ... 24.13 Å³/atom
Total DFT energy (no corrections) ... -11.8 eV/cell

Cell lengths 5.149, 5.149, 5.149 Å; angles 60.00, 60.00, 60.00 degrees
Fractional coordinates of all 4 atoms:
1 Ge 0.000 0.000 0.000
2 Au 0.500 0.500 0.500
3 Tl 0.750 0.750 0.750
4 Tl 0.250 0.250 0.250